PBE LiNpBiAu, relaxed; ΔE_f = -0.772 eV per formula unit; calculated total energy = -22.78 eV per cell
1.0
-3.437 -3.302 -1.891
1.287 -4.912 -0.715
-1.990 -3.637 3.017
Np Au Bi Li
1 1 1 1
Cartesian
-2.071 -5.925 0.205
-3.106 -8.888 0.308
-1.035 -2.963 0.103
0.000 0.000 0.000